Record 1
Crystalline NaZr2TaTc at its relaxed geometry. Source: the Alexandria database, functional PBE.

```
NaZr2TaTc
1.0
4.779 0.000 0.000
0.000 4.730 0.000
0.000 0.000 4.779
Na Tc Zr Ta
1 1 2 1
Cartesian
0.000 0.000 0.000 Na
2.389 2.365 2.389 Tc
0.000 0.000 2.389 Zr
2.389 0.000 0.000 Zr
0.000 2.365 0.000 Ta
```

space-group type = P4/mmm, No. 123
density of states at the Fermi level = 6.8 states/eV per cell
final energy = -6.040 eV per atom

=====

Record 2
Crystalline Na2TaTe4 at its relaxed geometry. Source: the Alexandria database, functional PBE.

```
Na2TaTe4
1.0
-1.701 -1.558 3.334
6.590 0.260 3.483
-4.607 7.139 -1.478
Na Ta Te
2 1 4
Cartesian
1.662 2.120 4.304 Na
-1.380 3.720 1.035 Na
0.000 0.000 0.000 Ta
-3.812 4.785 2.757 Te
4.094 1.055 2.582 Te
-0.709 0.971 2.557 Te
0.990 4.870 2.782 Te
```

ΔE_f (raw) = -0.445 eV/atom
space-group type = C2/m, No. 12
density of states at the Fermi level = 1.7 states/eV per cell
distance to the lowest polymorph of the same formula = 0.0 meV per atom
final energy = -4.310 eV per atom

=====

Record 3
Crystalline NaTa2Te4 at its relaxed geometry. Source: the Alexandria database, functional PBE.

```
NaTa2Te4
1.0
-1.341 2.385 2.521
-3.191 3.081 -4.611
-5.682 -6.168 2.812
Na Ta Te
1 2 4
Cartesian
-4.532 5.466 -2.090 Na
-4.437 -1.543 -0.900 Ta
-3.511 -1.891 2.667 Ta
-3.137 0.230 0.859 Te
-7.077 -0.931 -0.137 Te
-6.155 -1.280 3.428 Te
-4.060 0.578 -2.706 Te
```

ΔE_f (raw) = -0.388 eV/atom
space-group type = P2/m, No. 10
density of states at the Fermi level = 2.8 states/eV per cell
final energy = -5.758 eV per atom

=====

Record 4
Crystalline NaTa3Te at its relaxed geometry. Source: the Alexandria database, functional PBE.

```
NaTa3Te
1.0
4.758 0.000 0.000
0.000 4.758 0.000
0.000 0.000 4.758
Na Te Ta
1 1 3
Cartesian
0.000 0.000 0.000 Na
2.379 2.379 2.379 Te
0.000 2.379 0.000 Ta
0.000 0.000 2.379 Ta
2.379 0.000 0.000 Ta
```

ΔE_f (raw) = 2.215 eV/atom
space-group type = Pm-3m, No. 221
density of states at the Fermi level = 4.0 states/eV per cell
distance to the lowest polymorph of the same formula = 422.8 meV per atom
final energy = -5.788 eV per atom

=====

Record 5
Crystalline Na2TaTe at its relaxed geometry. Source: the Alexandria database, functional PBE.

```
Na2TaTe
1.0
8.992 0.000 0.000
0.000 8.992 0.000
4.496 4.496 2.757
Na Te Ta
4 2 2
Cartesian
6.523 2.248 0.689 Na
2.469 6.744 0.689 Na
6.744 6.965 2.068 Na
11.241 11.019 2.068 Na
4.496 4.496 0.000 Te
4.496 8.992 1.379 Te
0.000 0.000 0.000 Ta
8.992 4.496 1.379 Ta
```

ΔE_f (raw) = 0.678 eV/atom
space-group type = I-42d, No. 122
density of states at the Fermi level = 6.2 states/eV per cell
final energy = -3.730 eV per atom

=====

Record 6
Crystalline NaTaTe4 at its relaxed geometry. Source: the Alexandria database, functional PBE.

```
NaTaTe4
1.0
0.679 1.740 -6.676
1.682 -6.544 -1.549
-6.711 -1.487 -1.089
Na Ta Te
2 2 8
Cartesian
-0.497 -2.780 -4.381 Na
-3.854 -3.512 -4.933 Na
-4.355 0.624 -7.493 Ta
0.004 -6.916 -1.821 Ta
1.743 -2.990 -6.887 Te
0.679 0.357 -4.796 Te
-2.922 -1.039 -2.822 Te
-1.429 -5.253 -6.492 Te
-6.093 -3.302 -2.427 Te
-2.114 -5.027 -2.468 Te
-2.237 -1.265 -6.846 Te
-5.030 -6.649 -4.518 Te
```

ΔE_f (raw) = -0.362 eV/atom
space-group type = C2/c, No. 15
density of states at the Fermi level = 5.8 states/eV per cell
final energy = -4.652 eV per atom

=====

Record 7
Crystalline Na2TaTe5 at its relaxed geometry. Source: the Alexandria database, functional PBE.

```
Na2TaTe5
1.0
-4.393 0.678 -8.253
5.853 -1.902 -3.272
-3.905 -3.025 7.153
Na Ta Te
2 1 5
Cartesian
-0.181 -3.024 -0.153 Na
-4.367 -1.367 -3.111 Na
-2.014 -3.667 -4.553 Ta
-1.838 -0.586 -8.097 Te
1.218 -1.058 -2.355 Te
1.369 -1.127 -9.164 Te
3.860 -1.512 -4.483 Te
-1.042 -1.230 -4.870 Te
```

ΔE_f (raw) = -0.387 eV/atom
space-group type = Cm, No. 8
density of states at the Fermi level = 1.0 states/eV per cell
final energy = -4.162 eV per atom

=====

Record 8
Crystalline Na2TaTe4 at its relaxed geometry. Source: the Alexandria database, functional PBE.

```
Na2TaTe4
1.0
5.518 0.000 0.000
0.000 5.518 0.000
2.759 2.759 7.889
Na Te Ta
2 4 1
Cartesian
2.759 2.759 2.083 Na
5.518 5.518 5.806 Na
2.759 2.759 5.144 Te
5.518 5.518 2.745 Te
0.000 2.759 0.000 Te
2.759 0.000 0.000 Te
0.000 0.000 0.000 Ta
```

ΔE_f (raw) = -0.279 eV/atom
space-group type = I4/mmm, No. 139
density of states at the Fermi level = 4.2 states/eV per cell
distance to the lowest polymorph of the same formula = 166.1 meV per atom
final energy = -4.144 eV per atom

=====

Record 9
Crystalline NaTa3Te at its relaxed geometry. Source: the Alexandria database, functional PBE.

```
NaTa3Te
1.0
5.094 0.000 0.000
0.000 5.094 0.000
0.000 0.000 5.094
Na Te Ta
1 1 3
Cartesian
2.547 2.547 2.547 Na
0.000 0.000 0.000 Te
0.000 2.547 0.000 Ta
0.000 0.000 2.547 Ta
2.547 0.000 0.000 Ta
```

ΔE_f (raw) = 1.793 eV/atom
space-group type = Pm-3m, No. 221
density of states at the Fermi level = 8.2 states/eV per cell
distance to the lowest polymorph of the same formula = 0.0 meV per atom
final energy = -6.211 eV per atom

=====

Record 10
Crystalline NaTaTl2Te4 at its relaxed geometry. Source: the Alexandria database, functional PBE.

```
NaTaTl2Te4
1.0
-6.830 -3.074 4.085
6.857 -4.150 -2.925
6.710 4.234 3.137
Na Ta Tl Te
1 1 2 4
Cartesian
3.331 0.601 3.665 Na
6.783 0.042 0.106 Ta
3.405 -3.591 0.634 Tl
0.000 0.000 0.000 Tl
1.482 -1.654 2.559 Te
5.241 1.690 1.451 Te
-1.526 -4.698 2.800 Te
8.277 -1.316 1.787 Te
```

ΔE_f (raw) = -0.337 eV/atom
space-group type = I-4, No. 82
final energy = -4.146 eV per atom

=====

Record 11
Crystalline Na2Ta2VTe6 at its relaxed geometry. Source: the Alexandria database, functional PBE.

```
Na2Ta2VTe6
1.0
-2.585 5.680 2.564
-4.021 -4.670 -2.747
1.004 -3.841 7.214
Na Ta V Te
2 2 1 6
Cartesian
-2.855 3.731 1.564 Na
-3.751 -2.720 -1.747 Na
-2.982 -2.722 2.845 Ta
-2.620 -0.109 4.186 Ta
0.502 -1.921 3.607 V
-4.214 -2.098 5.227 Te
-0.957 -4.254 4.016 Te
-1.388 -0.733 1.804 Te
-0.454 -0.628 5.877 Te
-4.645 1.423 3.014 Te
-5.148 -2.203 1.154 Te
```

ΔE_f (raw) = -0.456 eV/atom
space-group type = C2/m, No. 12
density of states at the Fermi level = 5.5 states/eV per cell
final energy = -5.394 eV per atom

=====

Record 12
Crystalline Na3TaV2Te6 at its relaxed geometry. Source: the Alexandria database, functional PBE.

```
Na3TaV2Te6
1.0
-4.149 -3.870 -3.627
3.950 -2.577 4.806
-5.695 3.358 4.955
Na Ta V Te
3 1 2 6
Cartesian
-0.338 -1.129 5.784 Na
-5.557 -1.962 0.350 Na
-2.947 -1.545 3.067 Na
0.000 0.000 0.000 Ta
0.916 -3.062 1.647 V
-1.114 -3.386 -0.467 V
-6.180 -2.453 3.405 Te
-1.484 -4.063 2.048 Te
0.286 -0.637 2.730 Te
-3.311 -1.995 6.392 Te
-4.410 0.973 4.086 Te
-2.583 -1.095 -0.258 Te
```

ΔE_f (raw) = -0.446 eV/atom
space-group type = C2/m, No. 12
density of states at the Fermi level = 4.7 states/eV per cell
final energy = -4.854 eV per atom

=====

- Which formula does entry 7 have?
  Na2TaTe5

=====

- Number 7 is which compound?
  Na2TaTe5